DFT (PBE) results for a relaxed structure of Pa2MnIrN5.

Summary:
Fermi-level density of states	10.4	states/eV per cell
calculated density	12.04	Mg/m³
E	-9.5217	eV/atom
magnetic moment	0.366	μB/atom
ΔE_f (raw)	-680	kJ/mol of formula units

Cell: 3.3089 12.8965 10.0704 Å, 90.00 90.00 90.00°
Space group Cmc2_1 (No. 36)
Inequivalent atoms, fractional coordinates:
Pa1 0.0000 0.0991 0.0000 [4 per cell]
Pa2 0.0000 0.1566 0.6259 [4 per cell]
Mn1 0.0000 0.2099 0.3407 [4 per cell]
Ir1 0.0000 0.4722 0.7706 [4 per cell]
N1 0.0000 0.0669 0.3886 [4 per cell]
N2 0.0000 0.2731 0.9840 [4 per cell]
N3 0.0000 0.3238 0.6842 [4 per cell]
N4 0.0000 0.3655 0.3213 [4 per cell]
N5 0.0000 0.4800 0.0842 [4 per cell]